# BaAl3Pb3

A relaxed BaAl3Pb3 crystal (PBE, Alexandria via LeMat-Bulk).

abc: 7.8144 7.8144 7.8144
angles: 90.00 90.00 90.00
Closest atoms and distances in Å follow each position.
Atoms (fractional coordinates):
Al: 0.5000 0.0000 0.2500  4 Pb 2.76
Al: 0.0000 0.2500 0.5000  4 Pb 2.76
Al: 0.2500 0.5000 0.0000  4 Pb 2.76
Al: 0.5000 0.0000 0.7500  4 Pb 2.76
Al: 0.0000 0.7500 0.5000  4 Pb 2.76
Al: 0.7500 0.5000 0.0000  4 Pb 2.76
Ba: 0.0000 0.0000 0.0000  12 Pb 4.37, 12 Al 4.37
Ba: 0.5000 0.5000 0.5000  12 Pb 4.37, 12 Al 4.37
Pb: 0.5000 0.2500 0.0000  4 Al 2.76
Pb: 0.2500 0.0000 0.5000  4 Al 2.76
Pb: 0.0000 0.5000 0.7500  4 Al 2.76
Pb: 0.0000 0.5000 0.2500  4 Al 2.76
Pb: 0.5000 0.7500 0.0000  4 Al 2.76
Pb: 0.7500 0.0000 0.5000  4 Al 2.76

Summary:
final energy = -3.356 eV/atom

# BaAl2Pb2

A relaxed BaAl2Pb2 crystal (PBE, Alexandria via LeMat-Bulk).

abc: 8.7316 8.7316 3.7666
angles: 90.00 90.00 90.00
Closest atoms and distances in Å follow each position.
Atoms (fractional coordinates):
Pb: 0.1656 0.6656 0.5000  6 Al 3.12-3.30
Pb: 0.6656 0.8344 0.5000  6 Al 3.12-3.30
Pb: 0.8344 0.3344 0.5000  6 Al 3.12-3.30
Pb: 0.3344 0.1656 0.5000  6 Al 3.12-3.30
Al: 0.8850 0.6150 0.0000  1 Al 2.84, 4 Pb 3.12
Al: 0.6150 0.1150 0.0000  1 Al 2.84, 4 Pb 3.12
Al: 0.3850 0.8850 0.0000  1 Al 2.84, 4 Pb 3.12
Al: 0.1150 0.3850 0.0000  1 Al 2.84, 4 Pb 3.12
Ba: 0.5000 0.5000 0.0000  4 Al 3.51, 8 Pb 3.76, 2 Ba 3.77
Ba: 0.0000 0.0000 0.0000  4 Al 3.51, 8 Pb 3.76, 2 Ba 3.77

Summary:
final energy = -3.426 eV/atom
E above lowest polymorph = 0.74 eV per formula unit

# BaAl2Pb

A relaxed BaAl2Pb crystal (PBE, Alexandria via LeMat-Bulk).

abc: 7.0288 7.0288 7.0288
angles: 143.72 142.22 53.38
Closest atoms and distances in Å follow each position.
Atoms (fractional coordinates):
Al: 0.9146 0.9146 0.0000  2 Al 2.68
Al: 0.7915 0.2915 0.5000  2 Al 2.68
Pb: 0.2586 0.7586 0.5000  6 Al 3.00-3.18
Ba: 0.5353 0.5353 0.0000  8 Al 3.50-3.89, 2 Pb 3.61

Summary:
final energy = -3.368 eV/atom

# BaAl2Pb

A relaxed BaAl2Pb crystal (PBE, Alexandria via LeMat-Bulk).

abc: 4.8595 4.8595 4.8630
angles: 90.00 90.00 90.00
Closest atoms and distances in Å follow each position.
Atoms (fractional coordinates):
Al: 0.0000 0.0000 0.0000  4 Al 3.44, 4 Ba 3.44, 4 Pb 3.44
Al: 0.5000 0.5000 0.0000  4 Al 3.44, 4 Ba 3.44, 4 Pb 3.44
Pb: 0.0000 0.5000 0.5000  4 Ba 3.44, 8 Al 3.44
Ba: 0.5000 0.0000 0.5000  4 Pb 3.44, 8 Al 3.44

Summary:
final energy = -3.251 eV/atom

# Ba2AlPb

A relaxed Ba2AlPb crystal (PBE, Alexandria via LeMat-Bulk).

abc: 6.0046 6.0046 6.0046
angles: 60.00 60.00 60.00
Closest atoms and distances in Å follow each position.
Atoms (fractional coordinates):
Pb: 0.5000 0.5000 0.5000  8 Ba 3.68
Al: 0.0000 0.0000 0.0000  8 Ba 3.68
Ba: 0.2500 0.2500 0.2500  4 Pb 3.68, 4 Al 3.68
Ba: 0.7500 0.7500 0.7500  4 Pb 3.68, 4 Al 3.68

Summary:
final energy = -3.073 eV/atom
E above lowest polymorph = 0.46 eV per formula unit

# BaAl2Pb

A relaxed BaAl2Pb crystal (PBE, Alexandria via LeMat-Bulk).

abc: 10.4465 10.4465 10.4465
angles: 20.29 20.29 20.29
Closest atoms and distances in Å follow each position.
Atoms (fractional coordinates):
Ba: 0.2500 0.2500 0.2500  6 Al 3.54, 6 Ba 3.68
Al: 0.4909 0.4909 0.4909  3 Pb 3.11
Al: 0.0091 0.0091 0.0091  3 Pb 3.11
Pb: 0.7500 0.7500 0.7500  6 Al 3.11

Summary:
final energy = -2.988 eV/atom

# Ba2AlPb

A relaxed Ba2AlPb crystal (PBE, Alexandria via LeMat-Bulk).

abc: 5.7299 5.7299 7.8069
angles: 79.61 79.61 41.65
Closest atoms and distances in Å follow each position.
Atoms (fractional coordinates):
Pb: 0.7500 0.7500 0.7500  6 Ba 3.63-3.64
Ba: 0.5004 0.5004 0.4951  3 Al 3.58-3.60, 3 Pb 3.63-3.64
Ba: 0.9996 0.9996 0.0049  3 Al 3.58-3.60, 3 Pb 3.63-3.64
Al: 0.2500 0.2500 0.2500  6 Ba 3.58-3.60

Summary:
final energy = -2.862 eV/atom
E above lowest polymorph = 1.30 eV per formula unit

# BaAl2Pb

A relaxed BaAl2Pb crystal (PBE, Alexandria via LeMat-Bulk).

abc: 5.7887 5.7887 5.7887
angles: 128.16 128.16 76.36
Closest atoms and distances in Å follow each position.
Atoms (fractional coordinates):
Pb: 0.7500 0.2500 0.5000  8 Al 3.40-3.58, 4 Ba 3.40
Al: 0.2500 0.7500 0.5000  4 Ba 3.40, 4 Al 3.40, 4 Pb 3.58
Al: 0.0000 0.0000 0.0000  4 Al 3.40, 4 Pb 3.40, 4 Ba 3.58
Ba: 0.5000 0.5000 0.0000  4 Pb 3.40, 8 Al 3.40-3.58

Summary:
final energy = -3.190 eV/atom

# BaAl2Pb2

A relaxed BaAl2Pb2 crystal (PBE, Alexandria via LeMat-Bulk).

abc: 8.9229 8.9229 3.7007
angles: 90.00 90.00 90.00
Closest atoms and distances in Å follow each position.
Atoms (fractional coordinates):
Ba: 0.5000 0.5000 0.0000  4 Pb 3.48, 2 Ba 3.70, 8 Al 3.87
Ba: 0.0000 0.0000 0.0000  4 Pb 3.48, 2 Ba 3.70, 8 Al 3.87
Pb: 0.3655 0.8655 0.0000  6 Al 3.15-3.28, 1 Pb 3.39, 2 Ba 3.48
Pb: 0.6345 0.1345 0.0000  6 Al 3.15-3.28, 1 Pb 3.39, 2 Ba 3.48
Pb: 0.1345 0.3655 0.0000  6 Al 3.15-3.28, 1 Pb 3.39, 2 Ba 3.48
Pb: 0.8655 0.6345 0.0000  6 Al 3.15-3.28, 1 Pb 3.39, 2 Ba 3.48
Al: 0.1507 0.6507 0.5000  6 Pb 3.15-3.28
Al: 0.6507 0.8493 0.5000  6 Pb 3.15-3.28
Al: 0.8493 0.3493 0.5000  6 Pb 3.15-3.28
Al: 0.3493 0.1507 0.5000  6 Pb 3.15-3.28

Summary:
final energy = -3.332 eV/atom
E above lowest polymorph = 1.21 eV per formula unit

# Ba2AlPb

A relaxed Ba2AlPb crystal (PBE, Alexandria via LeMat-Bulk).

abc: 4.0321 5.6371 7.2114
angles: 90.00 90.00 90.00
Closest atoms and distances in Å follow each position.
Atoms (fractional coordinates):
Pb: 0.0000 0.0000 0.4530  5 Ba 3.39-3.59
Ba: 0.5000 0.5000 0.3213  2 Al 3.47-3.74, 4 Pb 3.59
Ba: 0.0000 0.0000 0.9233  1 Pb 3.39, 4 Al 3.57
Al: 0.5000 0.5000 0.8023  6 Ba 3.47-3.74

Summary:
final energy = -2.824 eV/atom
E above lowest polymorph = 1.45 eV per formula unit

# Ba2AlPb

A relaxed Ba2AlPb crystal (PBE, Alexandria via LeMat-Bulk).

abc: 9.8004 9.8004 9.8004
angles: 28.07 28.07 28.07
Closest atoms and distances in Å follow each position.
Atoms (fractional coordinates):
Ba: 0.2158 0.2158 0.2158  3 Pb 3.49
Ba: 0.0366 0.0366 0.0366  3 Al 3.41
Pb: 0.4727 0.4727 0.4727  3 Al 2.88
Al: 0.7749 0.7749 0.7749  3 Pb 2.88

Summary:
final energy = -3.078 eV/atom
E above lowest polymorph = 0.44 eV per formula unit

# BaAl2Pb

A relaxed BaAl2Pb crystal (PBE, Alexandria via LeMat-Bulk).

abc: 4.4405 4.4166 6.4700
angles: 84.34 90.00 90.00
Closest atoms and distances in Å follow each position.
Atoms (fractional coordinates):
Pb: 0.5000 0.6677 0.8869  6 Al 2.98-3.22
Al: 0.5000 0.1137 0.2035  2 Al 2.68, 1 Pb 2.98
Al: 0.0000 0.1412 0.9716  2 Al 2.68
Ba: 0.0000 0.5774 0.4380  7 Al 3.47-3.78, 2 Pb 3.71

Summary:
final energy = -3.363 eV/atom

# Ba2AlPb

A relaxed Ba2AlPb crystal (PBE, Alexandria via LeMat-Bulk).

abc: 6.0750 6.0750 4.1378
angles: 90.00 90.00 89.99
Closest atoms and distances in Å follow each position.
Atoms (fractional coordinates):
Al: 0.0000 0.5000 0.5000  8 Ba 3.68
Ba: 0.5000 0.5000 0.0000  4 Pb 3.68, 4 Al 3.68
Ba: 0.0000 0.0000 0.0000  4 Al 3.68, 4 Pb 3.68
Pb: 0.5000 0.0000 0.5000  8 Ba 3.68

Summary:
final energy = -3.070 eV/atom
E above lowest polymorph = 0.47 eV per formula unit

# Ba2AlPb

A relaxed Ba2AlPb crystal (PBE, Alexandria via LeMat-Bulk).

abc: 6.7710 6.7710 5.6723
angles: 65.28 65.28 38.61
Closest atoms and distances in Å follow each position.
Atoms (fractional coordinates):
Ba: 0.9742 0.9742 0.0260  2 Ba 3.65, 4 Pb 3.71, 4 Al 3.82-3.87
Ba: 0.7734 0.7734 0.7267  2 Ba 3.65, 4 Al 3.70, 4 Pb 3.83-3.87
Al: 0.2038 0.2038 0.2957  2 Pb 2.86
Pb: 0.5486 0.5486 0.4517  2 Al 2.86

Summary:
final energy = -3.135 eV/atom
E above lowest polymorph = 0.21 eV per formula unit

# Ba2Al2Pb

A relaxed Ba2Al2Pb crystal (PBE, Alexandria via LeMat-Bulk).

abc: 7.9479 7.9479 5.3663
angles: 90.00 90.00 90.00
Closest atoms and distances in Å follow each position.
Atoms (fractional coordinates):
Pb: 0.5000 0.5000 0.0000  4 Al 3.18
Pb: 0.0000 0.0000 0.0000  4 Al 3.18
Al: 0.1182 0.3818 0.0000  1 Al 2.66
Al: 0.3818 0.8818 0.0000  1 Al 2.66
Al: 0.8818 0.6182 0.0000  1 Al 2.66
Al: 0.6182 0.1182 0.0000  1 Al 2.66
Ba: 0.1822 0.6822 0.5000  6 Al 3.50-3.63
Ba: 0.6822 0.8178 0.5000  6 Al 3.50-3.63
Ba: 0.3178 0.1822 0.5000  6 Al 3.50-3.63
Ba: 0.8178 0.3178 0.5000  6 Al 3.50-3.63

Summary:
final energy = -3.198 eV/atom

# BaAlPb3

A relaxed BaAlPb3 crystal (PBE, Alexandria via LeMat-Bulk).

abc: 5.5924 5.5924 5.5924
angles: 90.00 90.00 90.00
Closest atoms and distances in Å follow each position.
Atoms (fractional coordinates):
Pb: 0.0000 0.0000 0.5000  2 Al 2.80
Pb: 0.0000 0.5000 0.0000  2 Al 2.80
Pb: 0.5000 0.0000 0.0000  2 Al 2.80
Al: 0.0000 0.0000 0.0000  6 Pb 2.80
Ba: 0.5000 0.5000 0.5000  12 Pb 3.95

Summary:
final energy = -3.414 eV/atom

# Ba2AlPb

A relaxed Ba2AlPb crystal (PBE, Alexandria via LeMat-Bulk).

abc: 11.0301 11.0301 11.0301
angles: 22.09 22.09 22.09
Closest atoms and distances in Å follow each position.
Atoms (fractional coordinates):
Al: 0.7500 0.7500 0.7500  6 Ba 3.58
Ba: 0.0023 0.0023 0.0023  3 Al 3.58, 3 Pb 3.69
Ba: 0.4977 0.4977 0.4977  3 Al 3.58, 3 Pb 3.69
Pb: 0.2500 0.2500 0.2500  6 Ba 3.69

Summary:
final energy = -2.846 eV/atom
E above lowest polymorph = 1.36 eV per formula unit

# BaAl2Pb

A relaxed BaAl2Pb crystal (PBE, Alexandria via LeMat-Bulk).

abc: 4.8844 3.6151 6.9618
angles: 80.12 90.00 90.00
Closest atoms and distances in Å follow each position.
Atoms (fractional coordinates):
Ba: 0.5000 0.2500 0.2500  8 Al 3.57-3.99, 2 Ba 3.62, 2 Pb 3.64
Al: 0.0000 0.9780 0.9273  2 Al 2.88-3.20, 2 Pb 2.92
Al: 0.0000 0.5220 0.5727  2 Al 2.88-3.20, 2 Pb 2.92
Pb: 0.5000 0.7500 0.7500  4 Al 2.92

Summary:
final energy = -3.227 eV/atom

# Ba5Al5Pb

A relaxed Ba5Al5Pb crystal (PBE, Alexandria via LeMat-Bulk).

abc: 6.1199 6.1199 11.2334
angles: 90.00 90.00 120.00
Closest atoms and distances in Å follow each position.
Atoms (fractional coordinates):
Ba: 0.0000 0.0000 0.6699  9 Al 3.53-3.61, 1 Pb 3.71, 4 Ba 3.81-3.82
Ba: 0.6667 0.3333 0.7974  6 Al 3.72-3.79, 3 Ba 3.81
Ba: 0.6667 0.3333 0.2026  6 Al 3.72-3.79, 3 Ba 3.81
Ba: 0.0000 0.0000 0.3301  9 Al 3.53-3.61, 1 Pb 3.71, 4 Ba 3.81-3.82
Ba: 0.3333 0.6667 0.0000  3 Pb 3.53, 2 Al 3.64
Al: 0.9756 0.4878 0.5000  4 Al 2.74-2.84
Al: 0.5122 0.4878 0.5000  4 Al 2.74-2.84
Al: 0.3333 0.6667 0.6756  3 Al 2.74
Al: 0.3333 0.6667 0.3244  3 Al 2.74
Al: 0.5122 0.0244 0.5000  4 Al 2.74-2.84
Pb: 0.0000 0.0000 0.0000  5 Ba 3.53-3.71

Summary:
final energy = -3.247 eV/atom

# Ba3AlPb2

A relaxed Ba3AlPb2 crystal (PBE, Alexandria via LeMat-Bulk).

abc: 4.8937 14.3497 14.0554
angles: 90.00 90.00 90.00
Closest atoms and distances in Å follow each position.
Atoms (fractional coordinates):
Ba: 0.7500 0.2965 0.8019  2 Al 3.45, 4 Pb 3.63-3.77
Ba: 0.2500 0.3814 0.0700  1 Al 3.58, 4 Pb 3.61-3.77
Ba: 0.7500 0.9458 0.1190  5 Pb 3.63-3.76, 3 Al 3.74-3.86
Ba: 0.2500 0.4458 0.3810  5 Pb 3.63-3.76, 3 Al 3.74-3.86
Ba: 0.2500 0.7035 0.1981  2 Al 3.45, 4 Pb 3.63-3.77
Ba: 0.7500 0.8814 0.4300  1 Al 3.58, 4 Pb 3.61-3.77
Ba: 0.2500 0.7965 0.6981  2 Al 3.45, 4 Pb 3.63-3.77
Ba: 0.7500 0.2035 0.3019  2 Al 3.45, 4 Pb 3.63-3.77
Ba: 0.7500 0.6186 0.9300  1 Al 3.58, 4 Pb 3.61-3.77
Ba: 0.7500 0.5542 0.6190  5 Pb 3.63-3.76, 3 Al 3.74-3.86
Ba: 0.2500 0.1186 0.5700  1 Al 3.58, 4 Pb 3.61-3.77
Ba: 0.2500 0.0542 0.8810  5 Pb 3.63-3.76, 3 Al 3.74-3.86
Al: 0.7500 0.6421 0.3594  3 Pb 2.89-2.93
Al: 0.2500 0.3579 0.6406  3 Pb 2.89-2.93
Al: 0.2500 0.1421 0.1406  3 Pb 2.89-2.93
Al: 0.7500 0.8579 0.8594  3 Pb 2.89-2.93
Pb: 0.7500 0.9831 0.6982  1 Al 2.89
Pb: 0.7500 0.3154 0.5347  2 Al 2.93
Pb: 0.2500 0.0169 0.3018  1 Al 2.89
Pb: 0.7500 0.1846 0.0347  2 Al 2.93
Pb: 0.2500 0.4831 0.8018  1 Al 2.89
Pb: 0.2500 0.6846 0.4653  2 Al 2.93
Pb: 0.7500 0.5169 0.1982  1 Al 2.89
Pb: 0.2500 0.8154 0.9653  2 Al 2.93

Summary:
final energy = -3.260 eV/atom

Number 1: mass density 5.8 g cm⁻³. Number 2: mass density 7.0 g cm⁻³. Number 3: mass density 5.3 g cm⁻³. Number 4: mass density 5.8 g cm⁻³. Number 5: mass density 5.5 g cm⁻³. Number 6: mass density 5.5 g cm⁻³. Number 7: mass density 5.1 g cm⁻³. Number 8: mass density 5.7 g cm⁻³. Number 9: mass density 6.8 g cm⁻³. Number 10: mass density 5.2 g cm⁻³. Number 11: mass density 4.6 g cm⁻³. Number 12: mass density 5.2 g cm⁻³. Number 13: mass density 5.5 g cm⁻³. Number 14: mass density 5.8 g cm⁻³. Number 15: mass density 5.2 g cm⁻³. Number 16: mass density 7.5 g cm⁻³. Number 17: mass density 5.1 g cm⁻³. Number 18: mass density 5.5 g cm⁻³. Number 19: mass density 4.7 g cm⁻³. Number 20: mass density 5.7 g cm⁻³.